No. 1
Material: AcPmTlZn
Method: DFT, PBE
State: optimized geometry

```
AcPmTlZn
1.0
3.865 0.000 0.000
0.000 3.865 0.000
0.000 0.000 7.923
Ac Pm Tl Zn
1 1 1 1
Direct
0.000 0.000 0.000 Ac
0.000 0.000 0.543 Pm
0.500 0.500 0.296 Tl
0.500 0.500 0.744 Zn
```

Calculated values
Its density of states at the Fermi level is 3.41 states/eV/f.u. The value obtained for the density is 9.0 g cm⁻³. The value obtained for the energy above the most stable polymorph in this dataset is 0.00 eV per formula unit.



No. 2
Material: MnPt4Se
Method: DFT, PBE
State: optimized geometry

```
MnPt4Se
1.0
0.000 3.752 3.752
3.752 0.000 3.752
3.752 3.752 0.000
Mn Pt Se
1 4 1
Direct
0.000 0.000 0.000 Mn
0.125 0.625 0.625 Pt
0.625 0.125 0.625 Pt
0.625 0.625 0.125 Pt
0.625 0.625 0.625 Pt
0.250 0.250 0.250 Se
```

Calculated values
Its density of states at the Fermi level is 4.82 states/eV/f.u. The formation energy from raw total energies is 0.20 eV per atom. The value obtained for the density is 14.4 g cm⁻³.



No. 3
Material: NaSm2NpN4
Method: DFT, PBE
State: optimized geometry

```
NaSm2NpN4
1.0
0.000 5.097 3.446
3.447 0.000 3.446
3.447 5.097 0.000
Na Sm Np N
1 2 1 4
Direct
0.000 0.000 0.000 Na
0.251 0.251 0.249 Sm
0.751 0.751 0.749 Sm
0.502 0.502 0.498 Np
0.296 0.706 0.294 N
0.499 0.993 0.501 N
0.706 0.296 0.704 N
0.993 0.499 0.007 N
```

Calculated values
Its density of states at the Fermi level is 4.21 states/eV/f.u. The formation energy from raw total energies is -1.13 eV per atom. The value obtained for the density is 8.5 g cm⁻³.



No. 4
Material: NbZn2P2
Method: DFT, PBE
State: optimized geometry

```
NbZn2P2
1.0
6.491 0.000 0.000
0.000 6.491 0.000
0.000 0.000 3.672
Nb Zn P
2 4 4
Direct
0.000 0.000 0.000 Nb
0.500 0.500 0.000 Nb
0.177 0.323 0.500 Zn
0.323 0.823 0.500 Zn
0.677 0.177 0.500 Zn
0.823 0.677 0.500 Zn
0.133 0.633 0.000 P
0.367 0.133 0.000 P
0.633 0.867 0.000 P
0.867 0.367 0.000 P
```

Calculated values
Its density of states at the Fermi level is 1.51 states/eV/f.u. The value obtained for the density is 6.1 g cm⁻³. The value obtained for the energy above the most stable polymorph in this dataset is 0.00 eV per formula unit.



No. 5
Material: SrHgCl2
Method: DFT, PBE
State: optimized geometry

```
SrHgCl2
1.0
0.000 3.786 3.786
3.786 0.000 3.786
3.786 3.786 0.000
Sr Hg Cl
1 1 2
Direct
0.000 0.000 0.000 Sr
0.500 0.500 0.500 Hg
0.250 0.250 0.250 Cl
0.750 0.750 0.750 Cl
```

Calculated values
Its density of states at the Fermi level is 0.00 states/eV/f.u. The formation energy from raw total energies is -1.59 eV per atom. The value obtained for the density is 5.5 g cm⁻³. The value obtained for the energy above the most stable polymorph in this dataset is 0.85 eV per formula unit.



No. 6
Material: NiPHCl2
Method: DFT, PBE
State: optimized geometry

```
NiPHCl2
1.0
4.825 0.000 0.000
0.000 4.825 0.000
0.000 0.000 4.222
Ni P H Cl
1 1 1 2
Direct
0.000 0.000 0.000 Ni
0.000 0.000 0.500 P
0.500 0.500 0.500 H
0.000 0.500 0.000 Cl
0.500 0.000 0.000 Cl
```

Calculated values
Its density of states at the Fermi level is 1.73 states/eV/f.u. The value obtained for the density is 2.7 g cm⁻³. The value obtained for the energy above the most stable polymorph in this dataset is 0.00 eV per formula unit.



No. 7
Material: La2Cu2Si
Method: DFT, PBE
State: optimized geometry

```
La2Cu2Si
1.0
5.515 -2.104 0.000
5.515 2.104 0.000
-5.029 0.000 9.997
La Cu Si
4 4 2
Direct
0.099 0.099 0.393 La
0.305 0.305 0.864 La
0.695 0.695 0.136 La
0.901 0.901 0.607 La
0.041 0.041 0.910 Cu
0.391 0.391 0.383 Cu
0.609 0.609 0.617 Cu
0.959 0.959 0.090 Cu
0.420 0.420 0.176 Si
0.580 0.580 0.824 Si
```

Calculated values
Its density of states at the Fermi level is 4.28 states/eV/f.u. The formation energy from raw total energies is -0.40 eV per atom. The value obtained for the density is 6.2 g cm⁻³. The value obtained for the energy above the most stable polymorph in this dataset is 0.00 eV per formula unit.



No. 8
Material: LiInBi
Method: DFT, PBE
State: optimized geometry

```
LiInBi
1.0
4.709 -2.606 0.000
4.709 2.606 0.000
-3.481 0.000 6.805
Li In Bi
2 2 2
Direct
0.108 0.108 0.273 Li
0.892 0.892 0.727 Li
0.402 0.402 0.158 In
0.598 0.598 0.842 In
0.218 0.218 0.704 Bi
0.782 0.782 0.296 Bi
```

Calculated values
Its density of states at the Fermi level is 0.73 states/eV/f.u. The value obtained for the density is 6.6 g cm⁻³. The value obtained for the energy above the most stable polymorph in this dataset is 0.00 eV per formula unit.



No. 9
Material: Tb2PrB6
Method: DFT, PBE
State: optimized geometry

```
Tb2PrB6
1.0
5.751 0.000 0.000
-2.875 4.980 0.000
0.000 0.000 4.005
Tb Pr B
2 1 6
Direct
0.333 0.667 0.000 Tb
0.667 0.333 0.000 Tb
0.000 0.000 0.000 Pr
0.000 0.340 0.500 B
0.000 0.660 0.500 B
0.340 0.000 0.500 B
0.340 0.340 0.500 B
0.660 0.000 0.500 B
0.660 0.660 0.500 B
```

Calculated values
Its density of states at the Fermi level is 4.06 states/eV/f.u. The value obtained for the density is 7.6 g cm⁻³. The calculation puts the total energy at -6.43 eV/atom.



No. 10
Material: SrIF2
Method: DFT, PBE
State: optimized geometry

```
SrIF2
1.0
2.182 1.260 9.032
-2.182 1.260 9.032
0.000 -2.519 9.032
Sr I F
1 1 2
Direct
0.000 0.000 0.000 Sr
0.500 0.500 0.500 I
0.079 0.079 0.079 F
0.921 0.921 0.921 F
```

Calculated values
Its density of states at the Fermi level is 6.10 states/eV/f.u. The formation energy from raw total energies is -1.42 eV per atom. The value obtained for the density is 2.8 g cm⁻³. The value obtained for the energy above the most stable polymorph in this dataset is 5.03 eV per formula unit.



No. 11
Material: Cu4Mo
Method: DFT, PBE
State: optimized geometry

```
Cu4Mo
1.0
-1.691 1.691 5.899
1.691 -1.691 5.899
1.691 1.691 -5.899
Cu Mo
4 1
Direct
0.100 0.100 0.000 Cu
0.250 0.750 0.500 Cu
0.750 0.250 0.500 Cu
0.900 0.900 0.000 Cu
0.500 0.500 0.000 Mo
```

Calculated values
Its density of states at the Fermi level is 3.78 states/eV/f.u. The value obtained for the density is 8.6 g cm⁻³. The calculation puts the total energy at -4.93 eV/atom.



No. 12
Material: CoTe2P
Method: DFT, PBE
State: optimized geometry

```
CoTe2P
1.0
3.734 0.000 0.000
0.000 3.746 0.000
0.000 0.000 7.782
Co Te P
1 2 1
Direct
0.000 0.000 0.000 Co
0.000 0.500 0.500 Te
0.500 0.500 0.000 Te
0.500 0.000 0.500 P
```

Calculated values
Its density of states at the Fermi level is 5.23 states/eV/f.u. The formation energy from raw total energies is 0.64 eV per atom. The value obtained for the density is 5.3 g cm⁻³.